[1]
The following is a DFT calculation (PBE) of crystalline BeTeP2 at its relaxed geometry.

a = 5.7299 Å, b = 5.7299 Å, c = 5.7299 Å
α = 143.66°, β = 124.74°, γ = 67.95°
Element x y z (fractional)
1 P 0.8724 0.8724 0.0000
2 P 0.6276 0.6276 0.0000
3 Te 0.2500 0.7500 0.5000
4 Be 0.7500 0.2500 0.5000

theoretical density: 3.7 g/cm³
energy relative to the lowest polymorph listed for this composition: 4.024 kcal/mol of atoms
SG: Immm (71)
N(E_F): 0.397 states/eV per atom
formation energy (no corrections): 0.328 eV per atom
final energy: -4.09 eV/atom

=====

[2]
The following is a DFT calculation (PBE) of crystalline BeTeP2 at its relaxed geometry.

a = 3.0350 Å, b = 3.0350 Å, c = 8.1104 Å
α = 90.00°, β = 90.00°, γ = 90.00°
Element x y z (fractional)
1 P 0.0000 0.0000 0.9696
2 P 0.5000 0.5000 0.1384
3 Te 0.0000 0.0000 0.5225
4 Be 0.5000 0.5000 0.8694

theoretical density: 4.4 g/cm³
energy relative to the lowest polymorph listed for this composition: 7.943 kcal/mol of atoms
SG: P4mm (99)
N(E_F): 0.504 states/eV per atom
formation energy (no corrections): 0.498 eV per atom
final energy: -3.92 eV/atom

=====

[3]
The following is a DFT calculation (PBE) of crystalline BeTeP at its relaxed geometry.

a = 3.8591 Å, b = 4.2812 Å, c = 4.0487 Å
α = 90.00°, β = 117.38°, γ = 90.00°
Element x y z (fractional)
1 P 0.5000 0.0032 0.0000
2 Te 0.5000 0.5441 0.5000
3 Be 0.0000 0.2144 0.0000

theoretical density: 4.7 g/cm³
SG: P2 (3)
N(E_F): 0.191 states/eV per atom
formation energy (no corrections): 0.107 eV per atom
final energy: -3.99 eV/atom